1.
The following is a DFT calculation (SCAN) of Na3NbAg at its PBEsol-relaxed geometry.

Summary:
Energy of formation from the pure elements = 0.9839 eV/atom
N(E_F) = 3.171 states/eV per cell
Density = 2.9 g/cm3
DFT total energy = -14.444 eV/atom

Cell and atoms, written as POSCAR:
```
Na3NbAg
1.0
-0.296 -4.739 -2.530
5.364 -0.403 0.128
-0.303 -2.515 4.747
Nb Ag Na
1 1 3
Direct
0.500 0.500 0.500
0.000 0.000 0.000
0.000 0.500 0.000
0.000 0.000 0.500
0.500 0.000 0.000
```


2.
The following is a DFT calculation (SCAN) of Sr2BS at its PBEsol-relaxed geometry.

Summary:
N(E_F) = 4.115 states/eV per cell
Density = 3.2 g/cm3
DFT total energy = -15.761 eV/atom

Cell and atoms, written as POSCAR:
```
Sr2BS
1.0
-4.141 -1.617 4.911
3.714 -5.179 -1.805
3.323 -1.852 5.423
Sr B S
4 2 2
Direct
0.002 0.377 0.125
0.998 0.873 0.625
0.502 0.125 0.873
0.498 0.625 0.377
0.500 0.750 0.750
0.000 0.500 0.500
0.000 0.000 0.000
0.500 0.250 0.250
```


3.
The following is a DFT calculation (SCAN) of GaBSb2Te at its PBEsol-relaxed geometry.

Summary:
N(E_F) = 2.731 states/eV per cell
Density = 6.6 g/cm3
DFT total energy = -26.346 eV/atom

Cell and atoms, written as POSCAR:
```
GaBSb2Te
1.0
-0.028 2.739 -3.845
-4.188 1.761 1.285
2.339 3.668 2.597
Ga B Sb Te
1 1 2 1
Direct
0.500 0.500 0.500
0.000 0.000 0.000
0.500 0.000 0.000
0.000 0.500 0.000
0.000 0.000 0.500
```


4.
The following is a DFT calculation (SCAN) of Sr2HgPt at its PBEsol-relaxed geometry.

Summary:
Energy of formation from the pure elements = -0.6984 eV/atom
N(E_F) = 3.199 states/eV per cell
Density = 7.6 g/cm3
DFT total energy = -46.426 eV/atom

Cell and atoms, written as POSCAR:
```
Sr2HgPt
1.0
4.268 0.000 0.000
2.134 3.696 0.000
2.134 1.232 7.910
Hg Sr Pt
1 2 1
Direct
0.500 0.500 0.500
0.737 0.737 0.790
0.263 0.263 0.210
0.000 0.000 0.000
```


5.
The following is a DFT calculation (SCAN) of LiSn2Ir2 at its PBEsol-relaxed geometry.

Summary:
Energy of formation from the pure elements = -0.2663 eV/atom
N(E_F) = 2.781 states/eV per cell
Density = 11.8 g/cm3
DFT total energy = -43.552 eV/atom

Cell and atoms, written as POSCAR:
```
LiSn2Ir2
1.0
3.004 0.000 0.000
0.000 7.674 0.000
0.000 0.000 7.674
Ir Sn Li
4 4 2
Direct
0.000 0.362 0.862
0.000 0.138 0.362
0.000 0.638 0.138
0.000 0.862 0.638
0.500 0.840 0.340
0.500 0.660 0.840
0.500 0.340 0.160
0.500 0.160 0.660
0.000 0.500 0.500
0.000 0.000 0.000
```


6.
The following is a DFT calculation (SCAN) of Li2TiNi2O5 at its PBEsol-relaxed geometry.

Summary:
N(E_F) = 0.000 states/eV per cell
Density = 5.1 g/cm3
DFT total energy = -10.651 eV/atom

Cell and atoms, written as POSCAR:
```
Li2TiNi2O5
1.0
4.903 0.021 0.000
1.601 4.743 0.000
2.451 0.010 7.328
Li O Ti Ni
4 10 2 4
Direct
0.447 0.750 0.106
0.749 0.250 0.501
0.553 0.250 0.894
0.251 0.750 0.499
0.306 0.997 0.890
0.804 0.503 0.890
0.694 0.003 0.110
0.595 0.487 0.297
0.405 0.513 0.703
0.000 0.500 0.500
0.892 0.987 0.703
0.108 0.013 0.297
0.196 0.497 0.110
0.500 0.000 0.500
0.352 0.250 0.295
0.648 0.750 0.705
0.849 0.750 0.303
0.151 0.250 0.697
0.050 0.750 0.900
0.950 0.250 0.100
```